No. 1
Computed, not measured: crystalline AcSnSe2 at its relaxed geometry at the PBE level of DFT.

Calculated values
N(E_F), states/eV/f.u.: 2.841
Total energy, eV/atom: -4.891
Formation energy (no corrections), kJ/mol of atoms: -108.1
Magnetization, μB per atom: 0.000

Unit cell a=5.173 b=5.173 c=3.994 alpha=90.00 beta=90.00 gamma=90.00
Space group P4/mmm (No. 123)
Unique sites:
Ac (0.000, 0.000, 0.000) x1
Sn (0.500, 0.500, 0.000) x1
Se (0.000, 0.500, 0.500) x2

No. 2
Computed, not measured: crystalline Ac4SnSe5 at its relaxed geometry at the PBE level of DFT.

Calculated values
N(E_F), states/eV/f.u.: 3.515
Total energy, eV/atom: -5.340
Formation energy (no corrections), kJ/mol of atoms: -150.0
Magnetization, μB per atom: 0.000

Unit cell a=4.4961 b=4.4961 c=53.4710 alpha=90.00 beta=90.00 gamma=120.00
Space group R-3m (No. 166, hexagonal axes)
Unique sites:
Ac (0.0000, 0.0000, 0.1001) x6
Ac (0.0000, 0.0000, 0.2992) x6
Sn (0.0000, 0.0000, 0.5000) x3
Se (0.0000, 0.0000, 0.0000) x3
Se (0.0000, 0.0000, 0.1980) x6
Se (0.0000, 0.0000, 0.4008) x6

No. 3
Computed, not measured: crystalline Ac3SnSe6 at its relaxed geometry at the PBE level of DFT.

Calculated values
N(E_F), states/eV/f.u.: 5.356
Total energy, eV/atom: -5.313
Formation energy (no corrections), kJ/mol of atoms: -153.3
Magnetization, μB per atom: 0.000

Unit cell a=12.033 b=15.085 c=7.488 alpha=90.00 beta=90.00 gamma=90.00
Space group Cmc2_1 (No. 36)
Unique sites:
Ac (0.000, 0.102, 0.000) x4
Ac (0.187, 0.400, 0.929) x8
Sn (0.000, 0.306, 0.385) x4
Se (0.000, 0.281, 0.759) x4
Se (0.000, 0.470, 0.221) x4
Se (0.161, 0.023, 0.715) x8
Se (0.170, 0.235, 0.201) x8

No. 4
Computed, not measured: crystalline AcSn3Se6 at its relaxed geometry at the PBE level of DFT.

Calculated values
N(E_F), states/eV/f.u.: 4.370
Total energy, eV/atom: -4.455
Formation energy (no corrections), kJ/mol of atoms: -72.6
Magnetization, μB per atom: 0.000

Unit cell a=12.301 b=4.224 c=12.565 alpha=90.00 beta=117.97 gamma=90.00
Space group P2_1/m (No. 11)
Unique sites:
Ac (0.158, 0.250, 0.422) x2
Sn (0.126, 0.750, 0.003) x2
Sn (0.217, 0.250, 0.780) x2
Sn (0.475, 0.250, 0.336) x2
Se (0.002, 0.750, 0.221) x2
Se (0.115, 0.750, 0.593) x2
Se (0.231, 0.250, 0.171) x2
Se (0.316, 0.750, 0.946) x2
Se (0.356, 0.750, 0.430) x2
Se (0.407, 0.250, 0.706) x2

No. 5
Computed, not measured: crystalline Ac6SnSe12 at its relaxed geometry at the PBE level of DFT.

Calculated values
N(E_F), states/eV/f.u.: 18.082
Total energy, eV/atom: -5.282
Formation energy (no corrections), kJ/mol of atoms: -151.8
Magnetization, μB per atom: 0.000

Unit cell a=13.2459 b=13.2459 c=12.7040 alpha=90.00 beta=90.00 gamma=120.00
Space group R-3 (No. 148, hexagonal axes)
Unique sites:
Ac (0.0518, 0.2725, 0.1434) x18
Sn (0.0000, 0.0000, 0.5000) x3
Se (0.0389, 0.2199, 0.9013) x18
Se (0.0662, 0.2049, 0.3870) x18

No. 6
Computed, not measured: crystalline Ac2Sn2Se7 at its relaxed geometry at the PBE level of DFT.

Calculated values
N(E_F), states/eV/f.u.: 0.035
Total energy, eV/atom: -4.641
Formation energy (no corrections), kJ/mol of atoms: -91.5
Magnetization, μB per atom: 0.000

Unit cell a=10.320 b=11.878 c=6.580 alpha=90.00 beta=99.88 gamma=90.00
Space group C2/m (No. 12)
Unique sites:
Ac (0.000, 0.218, 0.000) x4
Sn (0.242, 0.500, 0.427) x4
Se (0.000, 0.500, 0.500) x2
Se (0.083, 0.000, 0.246) x4
Se (0.240, 0.184, 0.769) x8

No. 7
Computed, not measured: crystalline Ac2SnSe at its relaxed geometry at the PBE level of DFT.

Calculated values
N(E_F), states/eV/f.u.: 2.527
Total energy, eV/atom: -5.085
Formation energy (no corrections), kJ/mol of atoms: -111.9
Magnetization, μB per atom: 0.000
Energy relative to the lowest polymorph listed for this composition, meV per atom: 150

Unit cell a=4.6176 b=4.6176 c=24.0162 alpha=90.00 beta=90.00 gamma=120.00
Space group R3m (No. 160, hexagonal axes)
Unique sites:
Ac (0.0000, 0.0000, 0.0000) x3
Ac (0.0000, 0.0000, 0.1715) x3
Sn (0.0000, 0.0000, 0.5859) x3
Se (0.0000, 0.0000, 0.7557) x3

No. 8
Computed, not measured: crystalline Ac6SnSe4 at its relaxed geometry at the PBE level of DFT.

Calculated values
N(E_F), states/eV/f.u.: 10.292
Total energy, eV/atom: -5.346
Formation energy (no corrections), kJ/mol of atoms: -142.3
Magnetization, μB per atom: 0.044

Unit cell a=4.551 b=14.541 c=22.888 alpha=90.00 beta=90.00 gamma=90.00
Space group Cmcm (No. 63)
Unique sites:
Ac (0.000, 0.000, 0.000) x4
Ac (0.000, 0.165, 0.250) x4
Ac (0.000, 0.269, 0.589) x8
Ac (0.000, 0.450, 0.164) x8
Sn (0.000, 0.164, 0.750) x4
Se (0.000, 0.091, 0.123) x8
Se (0.000, 0.361, 0.037) x8

No. 9
Computed, not measured: crystalline Ac2Sn2Se5 at its relaxed geometry at the PBE level of DFT.

Calculated values
Total energy, eV/atom: -4.898
Formation energy (no corrections), kJ/mol of atoms: -111.9
Magnetization, μB per atom: 0.000

Unit cell a=19.439 b=7.809 c=8.012 alpha=90.00 beta=90.00 gamma=90.00
Space group Ima2 (No. 46)
Unique sites:
Ac (0.118, 0.014, 0.000) x8
Sn (0.000, 0.000, 0.454) x4
Sn (0.250, 0.529, 0.050) x4
Se (0.042, 0.227, 0.723) x8
Se (0.144, 0.654, 0.850) x8
Se (0.250, 0.198, 0.920) x4

No. 10
Computed, not measured: crystalline Sr2AcSnSe5 at its relaxed geometry at the PBE level of DFT.

Calculated values
N(E_F), states/eV/f.u.: 1.275
Total energy, eV/atom: -4.723
Formation energy (no corrections), kJ/mol of atoms: -145.9
Magnetization, μB per atom: 0.000

Unit cell a=4.499 b=18.932 c=12.967 alpha=90.00 beta=90.00 gamma=90.00
Space group Cmc2_1 (No. 36)
Unique sites:
Sr (0.000, 0.110, 0.000) x4
Sr (0.000, 0.127, 0.626) x4
Ac (0.000, 0.213, 0.332) x4
Sn (0.000, 0.464, 0.771) x4
Se (0.000, 0.048, 0.387) x4
Se (0.000, 0.284, 0.996) x4
Se (0.000, 0.326, 0.676) x4
Se (0.000, 0.373, 0.316) x4
Se (0.000, 0.492, 0.078) x4

No. 11
Computed, not measured: crystalline Ac8SnTe4Se3 at its relaxed geometry at the PBE level of DFT.

Calculated values
N(E_F), states/eV/f.u.: 8.739
Total energy, eV/atom: -5.297
Formation energy (no corrections), kJ/mol of atoms: -150.0
Magnetization, μB per atom: 0.000

Unit cell a=9.2416 b=9.2416 c=23.1677 alpha=90.00 beta=90.00 gamma=120.00
Space group R-3m (No. 166, hexagonal axes)
Unique sites:
Ac (0.0000, 0.0000, 0.2418) x6
Ac (0.0058, 0.5029, 0.7565) x18
Sn (0.0000, 0.0000, 0.5000) x3
Te (0.0000, 0.0000, 0.0000) x3
Te (0.0000, 0.5000, 0.0000) x9
Se (0.0000, 0.5000, 0.5000) x9

No. 12
Computed, not measured: crystalline Ac4Sn2TeSe at its relaxed geometry at the PBE level of DFT.

Calculated values
N(E_F), states/eV/f.u.: 2.671
Total energy, eV/atom: -5.080
Formation energy (no corrections), kJ/mol of atoms: -115.5
Magnetization, μB per atom: 0.000

Unit cell a=8.164 b=4.764 c=8.273 alpha=90.00 beta=109.63 gamma=90.00
Space group P2/m (No. 10)
Unique sites:
Ac (0.243, 0.000, 0.241) x2
Ac (0.247, 0.500, 0.755) x2
Sn (0.000, 0.000, 0.500) x1
Sn (0.000, 0.500, 0.000) x1
Te (0.500, 0.500, 0.500) x1
Se (0.500, 0.000, 0.000) x1

No. 13
Computed, not measured: crystalline Ac4SnTe2Se at its relaxed geometry at the PBE level of DFT.

Calculated values
N(E_F), states/eV/f.u.: 3.698
Total energy, eV/atom: -5.203
Formation energy (no corrections), kJ/mol of atoms: -137.8
Magnetization, μB per atom: 0.000

Unit cell a=8.072 b=4.720 c=8.234 alpha=90.00 beta=109.56 gamma=90.00
Space group P2/m (No. 10)
Unique sites:
Ac (0.242, 0.000, 0.233) x2
Ac (0.251, 0.500, 0.764) x2
Sn (0.500, 0.000, 0.000) x1
Te (0.000, 0.000, 0.500) x1
Te (0.500, 0.500, 0.500) x1
Se (0.000, 0.500, 0.000) x1

No. 14
Computed, not measured: crystalline Ac6Sn2TeSe3 at its relaxed geometry at the PBE level of DFT.

Calculated values
N(E_F), states/eV/f.u.: 4.340
Total energy, eV/atom: -5.289
Formation energy (no corrections), kJ/mol of atoms: -138.5
Magnetization, μB per atom: 0.000

Unit cell a=20.181 b=4.690 c=9.244 alpha=90.00 beta=102.01 gamma=90.00
Space group C2/m (No. 12)
Unique sites:
Ac (0.000, 0.000, 0.237) x4
Ac (0.166, 0.500, 0.085) x4
Ac (0.171, 0.500, 0.584) x4
Sn (0.165, 0.000, 0.830) x4
Te (0.000, 0.500, 0.500) x2
Se (0.000, 0.500, 0.000) x2
Se (0.165, 0.000, 0.335) x4

No. 15
Computed, not measured: crystalline Ac8SnTe3Se4 at its relaxed geometry at the PBE level of DFT.

Calculated values
N(E_F), states/eV/f.u.: 8.992
Total energy, eV/atom: -5.362
Formation energy (no corrections), kJ/mol of atoms: -154.2
Magnetization, μB per atom: 0.000

Unit cell a=9.2284 b=9.2284 c=22.6926 alpha=90.00 beta=90.00 gamma=120.00
Space group R-3m (No. 166, hexagonal axes)
Unique sites:
Ac (0.0000, 0.0000, 0.2420) x6
Ac (0.0069, 0.5034, 0.7560) x18
Sn (0.0000, 0.0000, 0.0000) x3
Te (0.0000, 0.5000, 0.0000) x9
Se (0.0000, 0.0000, 0.5000) x3
Se (0.0000, 0.5000, 0.5000) x9

No. 16
Computed, not measured: crystalline Ac6Sn3TeSe2 at its relaxed geometry at the PBE level of DFT.

Calculated values
N(E_F), states/eV/f.u.: 4.818
Total energy, eV/atom: -5.119
Formation energy (no corrections), kJ/mol of atoms: -117.9
Magnetization, μB per atom: 0.000

Unit cell a=20.512 b=4.745 c=9.419 alpha=90.00 beta=102.50 gamma=90.00
Space group C2/m (No. 12)
Unique sites:
Ac (0.002, 0.000, 0.259) x4
Ac (0.167, 0.500, 0.582) x4
Ac (0.170, 0.500, 0.087) x4
Sn (0.000, 0.500, 0.500) x2
Sn (0.165, 0.000, 0.831) x4
Te (0.000, 0.500, 0.000) x2
Se (0.168, 0.000, 0.335) x4

No. 17
Computed, not measured: crystalline AcTl3Sn2Se6 at its relaxed geometry at the PBE level of DFT.

Calculated values
N(E_F), states/eV/f.u.: 7.987
Total energy, eV/atom: -4.055
Formation energy (no corrections), kJ/mol of atoms: -68.7
Magnetization, μB per atom: 0.000

Unit cell a=7.451 b=12.949 c=8.020 alpha=90.00 beta=108.18 gamma=90.00
Space group C2/m (No. 12)
Unique sites:
Ac (0.000, 0.000, 0.000) x2
Tl (0.000, 0.160, 0.500) x4
Tl (0.000, 0.500, 0.500) x2
Sn (0.000, 0.332, 0.000) x4
Se (0.215, 0.500, 0.209) x4
Se (0.249, 0.325, 0.779) x8

No. 18
Computed, not measured: crystalline Ac2Tl3SnSe6 at its relaxed geometry at the PBE level of DFT.

Calculated values
N(E_F), states/eV/f.u.: 5.434
Total energy, eV/atom: -4.413
Formation energy (no corrections), kJ/mol of atoms: -102.4
Magnetization, μB per atom: 0.000

Unit cell a=19.971 b=4.471 c=9.197 alpha=90.00 beta=106.10 gamma=90.00
Space group C2/m (No. 12)
Unique sites:
Ac (0.162, 0.000, 0.328) x4
Tl (0.000, 0.500, 0.500) x2
Tl (0.170, 0.000, 0.837) x4
Sn (0.000, 0.500, 0.000) x2
Se (0.000, 0.000, 0.219) x4
Se (0.152, 0.500, 0.089) x4
Se (0.174, 0.500, 0.568) x4

No. 19
Computed, not measured: crystalline Ac2ZnSnSe5 at its relaxed geometry at the PBE level of DFT.

Calculated values
Total energy, eV/atom: -4.789
Formation energy (no corrections), kJ/mol of atoms: -130.7
Magnetization, μB per atom: 0.000

Unit cell a=4.302 b=18.565 c=12.566 alpha=90.00 beta=90.00 gamma=90.00
Space group Cmc2_1 (No. 36)
Unique sites:
Ac (0.000, 0.112, 0.000) x4
Ac (0.000, 0.128, 0.621) x4
Zn (0.000, 0.443, 0.766) x4
Sn (0.000, 0.204, 0.327) x4
Se (0.000, 0.043, 0.368) x4
Se (0.000, 0.286, 0.990) x4
Se (0.000, 0.318, 0.662) x4
Se (0.000, 0.362, 0.314) x4
Se (0.000, 0.496, 0.089) x4